(1)
Compound: Zr2TaReO
Source: Alexandria via LeMat-Bulk
Functional: meta-GGA SCAN
Structure: single point on PBEsol structure

Cell lengths 5.182, 5.182, 3.719 Å; angles 90.00, 90.00, 90.00 degrees
Sites, in units of the cell vectors:
Zr  0.000  0.500  0.000
Zr  0.500  0.000  0.000
Ta  0.000  0.000  0.000
Re  0.500  0.500  0.500
O  0.000  0.000  0.500

Calculated values
Raw formation energy = 0.59 eV/atom

***

(2)
Compound: ReTeO3
Source: Alexandria via LeMat-Bulk
Functional: meta-GGA SCAN
Structure: single point on PBEsol structure

Cell lengths 4.158, 4.158, 4.158 Å; angles 90.00, 90.00, 90.00 degrees
Sites, in units of the cell vectors:
Re  0.000  0.000  0.000
Te  0.500  0.500  0.500
O  0.000  0.500  0.500
O  0.500  0.000  0.500
O  0.500  0.500  0.000

Calculated values
Raw formation energy = 0.51 eV/atom

***

(3)
Compound: TiReO3
Source: Alexandria via LeMat-Bulk
Functional: meta-GGA SCAN
Structure: single point on PBEsol structure

Cell lengths 3.858, 3.858, 3.858 Å; angles 90.00, 90.00, 90.00 degrees
Sites, in units of the cell vectors:
Ti  0.000  0.000  0.000
Re  0.500  0.500  0.500
O  0.000  0.000  0.500
O  0.000  0.500  0.000
O  0.500  0.000  0.000

Calculated values
Raw formation energy = -1.13 eV/atom